# 1
A relaxed structure of BaZnCl4. Source: OQMD via LeMat-Bulk, functional PBE-GGA.

Structure (CIF):
```
data_BaZnCl4
_cell_length_a 7.2961
_cell_length_b 9.9257
_cell_length_c 9.5721
_cell_angle_alpha 90.00
_cell_angle_beta 90.00
_cell_angle_gamma 90.00
_space_group_name_H-M_alt 'P n n a'
_space_group_IT_number 52
loop_
_space_group_symop_operation_xyz
'x,y,z'
'-x,-y,-z'
'-x+1/2,-y,z'
'x+1/2,y,-z'
'x,-y+1/2,-z+1/2'
'-x,y+1/2,z+1/2'
'-x+1/2,y+1/2,-z+1/2'
'x+1/2,-y+1/2,z+1/2'
loop_
_atom_site_label
_atom_site_type_symbol
_atom_site_fract_x
_atom_site_fract_y
_atom_site_fract_z
Ba1 Ba 0.1808 0.2500 0.2500
Zn1 Zn 0.2500 0.0000 0.6776
Cl1 Cl 0.0047 0.5374 0.3125
Cl2 Cl 0.1629 0.6846 0.9477
```

---

# 2
A relaxed structure of BaZnCl4. Source: OQMD via LeMat-Bulk, functional PBE-GGA.

Structure (CIF):
```
data_BaZnCl4
_cell_length_a 6.5194
_cell_length_b 15.4793
_cell_length_c 6.8557
_cell_angle_alpha 90.00
_cell_angle_beta 90.00
_cell_angle_gamma 90.00
_space_group_name_H-M_alt 'P b c n'
_space_group_IT_number 60
loop_
_space_group_symop_operation_xyz
'x,y,z'
'-x,-y,-z'
'-x+1/2,-y+1/2,z+1/2'
'x+1/2,y+1/2,-z+1/2'
'x+1/2,-y+1/2,-z'
'-x+1/2,y+1/2,z'
'-x,y,-z+1/2'
'x,-y,z+1/2'
loop_
_atom_site_label
_atom_site_type_symbol
_atom_site_fract_x
_atom_site_fract_y
_atom_site_fract_z
Ba1 Ba 0.0000 0.1294 0.2500
Zn1 Zn 0.0000 0.3903 0.2500
Cl1 Cl 0.1460 0.2992 0.0238
Cl2 Cl 0.2453 0.0370 0.9083
```

---

# 3
# BaZrCl6 (PBE-GGA, optimized geometry)
# **M_tot**: 0.0 μB/cell
data_BaZrCl6
_cell_length_a 9.3162
_cell_length_b 14.1039
_cell_length_c 6.4863
_cell_angle_alpha 90.00
_cell_angle_beta 90.00
_cell_angle_gamma 90.00
_space_group_name_H-M_alt 'C m m e'
_space_group_IT_number 67
_space_group_name_Hall '-C 2a 2'
loop_
_atom_site_label
_atom_site_type_symbol
_atom_site_fract_x
_atom_site_fract_y
_atom_site_fract_z
Ba1 Ba 0.0000 0.2500 0.0743
Zr1 Zr 0.2500 0.0000 0.5000
Cl1 Cl 0.0000 0.0638 0.3220
Cl2 Cl 0.1897 0.1307 0.7514

---

Number 1: total DFT energy (no corrections) -3.616 eV/atom. Number 2: total DFT energy (no corrections) -3.611 eV/atom. Number 3: total DFT energy (no corrections) -4.641 eV/atom.